Entry 1:
A relaxed Ti2InRu crystal, computed with PBE.

Cell and atoms, written as POSCAR:
```
Ti2InRu
1.0
-4.063 -0.905 -6.057
4.910 -4.826 -2.572
-0.947 -4.912 -3.090
Ru Ti In
2 4 2
direct
0.500 0.500 0.000 Ru
0.250 0.750 0.500 Ru
0.875 0.822 0.750 Ti
0.375 0.428 0.750 Ti
0.178 0.625 0.250 Ti
0.572 0.125 0.250 Ti
0.000 0.000 0.000 In
0.750 0.250 0.500 In
```


Entry 2:
A relaxed TiInRuW2 crystal, computed with PBE.

Cell and atoms, written as POSCAR:
```
TiInRuW2
1.0
-3.369 1.846 2.955
-1.135 -4.358 1.428
3.284 0.308 3.552
Ru W In Ti
1 2 1 1
direct
0.500 0.500 0.500 Ru
0.000 0.000 0.500 W
0.500 0.000 0.000 W
0.000 0.000 0.000 In
0.000 0.500 0.000 Ti
```


Entry 3:
A relaxed ZrTi2InRu crystal, computed with PBE.

Cell and atoms, written as POSCAR:
```
ZrTi2InRu
1.0
4.832 0.000 0.000
0.000 5.251 0.000
0.000 0.000 4.832
In Ti Ru Zr
1 2 1 1
direct
0.000 0.000 0.000 In
0.000 0.000 0.500 Ti
0.500 0.000 0.000 Ti
0.500 0.500 0.500 Ru
0.000 0.500 0.000 Zr
```


The records above yield DOS at the Fermi energy values of 1.02 1.51 1.79 states/eV per atom, respectively.
The records above yield density values of 6.97 9.45 5.46 g/cm³, respectively.
The records above yield formation enthalpy at 0 K values of 0.04 2.66 1.58 eV per atom, respectively.